# K2UAgSe6 | Alexandria via LeMat-Bulk | PBE-GGA | relaxed
# VASP energy = -88.35 eV/cell
# magnetization = 0.00 μB per formula unit
# E_form (uncorrected) = -0.69 eV per atom
data_K2UAgSe6
_chemical_formula_sum 'K4 U2 Ag2 Se12'
_space_group_name_H-M_alt 'C 1 2/m 1'
_space_group_IT_number 12
_space_group_name_Hall '-C 2y'
_cell_length_a 16.714
_cell_length_b 5.720
_cell_length_c 7.558
_cell_angle_alpha 90.00
_cell_angle_beta 112.70
_cell_angle_gamma 90.00
loop_
_atom_site_label
_atom_site_type_symbol
_atom_site_fract_x
_atom_site_fract_y
_atom_site_fract_z
_atom_site_occupancy
K1 K 0.233 0.000 0.231 1
U1 U 0.000 0.500 0.000 1
Ag1 Ag 0.000 0.000 0.500 1
Se1 Se 0.086 0.247 0.809 1
Se2 Se 0.143 0.500 0.302 1